The following is a DFT calculation (PBE) of crystalline Li2LaZnAu4 at its relaxed geometry.

Values from the calculation:
energy of formation from the pure elements: -571 meV/atom
total energy: -0.1273 Ha/atom

a b c (Å): 4.5204 4.5204 26.3201
angles (deg): 90.00 90.00 120.00
Closest atoms and distances in Å follow each position.
Space group R-3m (No. 166, hexagonal axes)
Unique sites:
Li: 0.0000 0.0000 0.2333  7 Au 2.72-2.76
La: 0.0000 0.0000 0.0000  8 Au 3.14-3.39
Zn: 0.0000 0.0000 0.5000  8 Au 2.64-2.79
Au: 0.0000 0.0000 0.1288  4 Li 2.72-2.75, 3 Zn 2.79
Au: 0.0000 0.0000 0.3998  1 Zn 2.64, 3 Li 2.76